# Y4TmRh2

A relaxed Y4TmRh2 crystal (PBE, Alexandria).

a b c (Å): 7.8606 6.3490 7.8873
angles (deg): 90.00 112.66 90.00
Fractional positions:
Y: 0.0182 0.2500 0.3821
Y: 0.2453 0.7500 0.3342
Y: 0.4121 0.0025 0.7644
Y: 0.4121 0.4975 0.7644
Y: 0.5879 0.5025 0.2356
Y: 0.5879 0.9975 0.2356
Y: 0.7547 0.2500 0.6658
Y: 0.9818 0.7500 0.6179
Tm: 0.1596 0.2500 0.0302
Tm: 0.8404 0.7500 0.9698
Rh: 0.2471 0.7500 0.9882
Rh: 0.3744 0.2500 0.4091
Rh: 0.6256 0.7500 0.5909
Rh: 0.7529 0.2500 0.0118

Values from the calculation:
VASP energy = -6.8961 eV/atom
Space-group type = P2_1/m

# Ba3CaTe

A relaxed Ba3CaTe crystal (PBE, Alexandria).

a b c (Å): 6.7233 6.7233 6.7233
angles (deg): 90.00 90.00 90.00
Fractional positions:
Ba: 0.0000 0.0000 0.5000
Ba: 0.0000 0.5000 0.0000
Ba: 0.5000 0.0000 0.0000
Ca: 0.5000 0.5000 0.5000
Te: 0.0000 0.0000 0.0000

Values from the calculation:
VASP energy = -2.6884 eV/atom
Energy relative to the lowest polymorph listed for this composition = 0 meV/atom
Uncorrected formation energy = -506 meV/atom
Space-group type = Pm-3m

# VSiC2S

A relaxed VSiC2S crystal (PBE, Alexandria).

a b c (Å): 3.7931 3.7931 5.0491
angles (deg): 90.00 90.00 90.00
Fractional positions:
V: 0.0000 0.0000 0.0000
Si: 0.5000 0.5000 0.5000
C: 0.0000 0.5000 0.0000
C: 0.5000 0.0000 0.0000
S: 0.0000 0.0000 0.5000

Values from the calculation:
VASP energy = -6.1488 eV/atom
Uncorrected formation energy = 1275 meV/atom
Space-group type = P4/mmm

# Sr2TlCdO5

A relaxed Sr2TlCdO5 crystal (PBE, Alexandria).

a b c (Å): 7.4896 7.4896 10.8981
angles (deg): 90.00 90.00 152.19
Fractional positions:
Sr: 0.0998 0.9002 0.5000
Sr: 0.1369 0.8631 0.1238
Sr: 0.8631 0.1369 0.6238
Sr: 0.9002 0.0998 0.0000
Tl: 0.4592 0.5408 0.2873
Tl: 0.5408 0.4592 0.7873
Cd: 0.2276 0.7724 0.8499
Cd: 0.7724 0.2276 0.3499
O: 0.0676 0.9324 0.8967
O: 0.2711 0.7289 0.4949
O: 0.3022 0.6978 0.2222
O: 0.3826 0.6174 0.8268
O: 0.4990 0.5010 0.5990
O: 0.5010 0.4990 0.0990
O: 0.6174 0.3826 0.3268
O: 0.6978 0.3022 0.7222
O: 0.7289 0.2711 0.9949
O: 0.9324 0.0676 0.3967

Values from the calculation:
VASP energy = -5.0638 eV/atom
Uncorrected formation energy = -1571 meV/atom
Space-group type = Cmc2_1

# Th4SnRu

A relaxed Th4SnRu crystal (PBE, Alexandria).

a b c (Å): 8.0657 8.0657 6.1239
angles (deg): 101.17 101.17 113.55
Fractional positions:
Th: 0.0622 0.7090 0.9390
Th: 0.2081 0.3794 0.6442
Th: 0.2910 0.9378 0.5610
Th: 0.3794 0.2081 0.1442
Th: 0.6206 0.7919 0.8558
Th: 0.7090 0.0622 0.4390
Th: 0.7919 0.6206 0.3558
Th: 0.9378 0.2910 0.0610
Sn: 0.3807 0.6193 0.2500
Sn: 0.6193 0.3807 0.7500
Ru: 0.0011 0.9989 0.7500
Ru: 0.9989 0.0011 0.2500

Values from the calculation:
VASP energy = -7.4970 eV/atom
Space-group type = C2/c

# RbSbTe2Os

A relaxed RbSbTe2Os crystal (PBE, Alexandria).

a b c (Å): 6.1202 6.1202 6.0099
angles (deg): 90.00 90.00 90.00
Fractional positions:
Rb: 0.0000 0.0000 0.0000
Sb: 0.0000 0.0000 0.5000
Te: 0.0000 0.5000 0.0000
Te: 0.5000 0.0000 0.0000
Os: 0.5000 0.5000 0.5000

Values from the calculation:
VASP energy = -2.1444 eV/atom
Energy relative to the lowest polymorph listed for this composition = 2129 meV/atom
Uncorrected formation energy = 2376 meV/atom
Space-group type = P4/mmm

# TbUFe

A relaxed TbUFe crystal (PBE, Alexandria).

a b c (Å): 6.6961 5.9361 5.0631
angles (deg): 74.53 58.69 46.78
Fractional positions:
Tb: 0.1799 0.8201 0.1799
Tb: 0.8201 0.1799 0.8201
U: 0.3124 0.3124 0.6876
U: 0.6876 0.6876 0.3124
Fe: 0.2500 0.2500 0.2500
Fe: 0.7500 0.7500 0.7500

Values from the calculation:
VASP energy = -8.0116 eV/atom
Energy relative to the lowest polymorph listed for this composition = 40 meV/atom
Space-group type = Fmmm

# TcSe2F

A relaxed TcSe2F crystal (PBE, Alexandria).

a b c (Å): 9.2305 9.2305 9.2305
angles (deg): 17.66 17.66 17.66
Fractional positions:
Tc: 0.0000 0.0000 0.0000
Se: 0.0914 0.0914 0.0914
Se: 0.9086 0.9086 0.9086
F: 0.5000 0.5000 0.5000

Values from the calculation:
VASP energy = -4.6479 eV/atom
Energy relative to the lowest polymorph listed for this composition = 572 meV/atom
Uncorrected formation energy = 154 meV/atom
Space-group type = R-3m

# Mn3PbI9

A relaxed Mn3PbI9 crystal (PBE, Alexandria).

a b c (Å): 11.6069 11.6069 14.6111
angles (deg): 124.64 124.64 53.62
Fractional positions:
Mn: 0.0803 0.9197 0.5000
Mn: 0.2982 0.5294 0.6214
Mn: 0.5294 0.2982 0.1214
Mn: 0.5448 0.7076 0.4614
Mn: 0.7076 0.5448 0.9614
Mn: 0.9197 0.0803 0.0000
Pb: 0.0404 0.4882 0.7888
Pb: 0.4882 0.0404 0.2888
I: 0.0389 0.7290 0.5194
I: 0.0422 0.8081 0.8547
I: 0.1111 0.1775 0.2113
I: 0.1775 0.1111 0.7113
I: 0.2037 0.3602 0.6058
I: 0.2474 0.7545 0.3573
I: 0.3530 0.4945 0.0094
I: 0.3602 0.2037 0.1058
I: 0.4381 0.7058 0.8274
I: 0.4945 0.3530 0.5094
I: 0.5728 0.9394 0.4935
I: 0.6684 0.6746 0.6660
I: 0.6746 0.6684 0.1660
I: 0.7058 0.4381 0.3274
I: 0.7290 0.0389 0.0194
I: 0.7545 0.2474 0.8573
I: 0.8081 0.0422 0.3547
I: 0.9394 0.5728 0.9935

Values from the calculation:
VASP energy = -3.8672 eV/atom
Uncorrected formation energy = -393 meV/atom
Space-group type = Cc

# HoMg2Pb9

A relaxed HoMg2Pb9 crystal (PBE, Alexandria).

a b c (Å): 4.7808 4.7808 15.2664
angles (deg): 90.00 90.00 90.00
Fractional positions:
Ho: 0.0000 0.0000 0.0000
Mg: 0.0000 0.0000 0.3350
Mg: 0.0000 0.0000 0.6650
Pb: 0.0000 0.5000 0.1679
Pb: 0.0000 0.5000 0.5000
Pb: 0.0000 0.5000 0.8321
Pb: 0.5000 0.0000 0.1679
Pb: 0.5000 0.0000 0.5000
Pb: 0.5000 0.0000 0.8321
Pb: 0.5000 0.5000 0.0000
Pb: 0.5000 0.5000 0.3344
Pb: 0.5000 0.5000 0.6656

Values from the calculation:
VASP energy = -3.5026 eV/atom
Space-group type = P4/mmm

# Pu2Co15Cu2

A relaxed Pu2Co15Cu2 crystal (PBE, Alexandria).

a b c (Å): 6.2615 6.2615 6.2615
angles (deg): 83.28 83.28 83.28
Fractional positions:
Pu: 0.1541 0.1541 0.1541
Pu: 0.8459 0.8459 0.8459
Co: 0.0000 0.5000 0.5000
Co: 0.1496 0.1496 0.6514
Co: 0.1496 0.6514 0.1496
Co: 0.2087 0.5000 0.7913
Co: 0.2087 0.7913 0.5000
Co: 0.3486 0.8504 0.8504
Co: 0.5000 0.0000 0.5000
Co: 0.5000 0.2087 0.7913
Co: 0.5000 0.5000 0.0000
Co: 0.5000 0.7913 0.2087
Co: 0.6514 0.1496 0.1496
Co: 0.7913 0.2087 0.5000
Co: 0.7913 0.5000 0.2087
Co: 0.8504 0.3486 0.8504
Co: 0.8504 0.8504 0.3486
Cu: 0.4003 0.4003 0.4003
Cu: 0.5997 0.5997 0.5997

Values from the calculation:
VASP energy = -7.5817 eV/atom
Space-group type = R-3m

# CuRhI2N

A relaxed CuRhI2N crystal (PBE, Alexandria).

a b c (Å): 5.4241 5.4241 3.5823
angles (deg): 90.00 90.00 90.00
Fractional positions:
Cu: 0.0000 0.0000 0.0000
Rh: 0.5000 0.5000 0.5000
I: 0.0000 0.5000 0.0000
I: 0.5000 0.0000 0.0000
N: 0.0000 0.0000 0.5000

Values from the calculation:
VASP energy = -3.4858 eV/atom
Energy relative to the lowest polymorph listed for this composition = 484 meV/atom
Uncorrected formation energy = 1089 meV/atom
Space-group type = P4/mmm

# LiV

A relaxed LiV crystal (PBE, Alexandria).

a b c (Å): 6.0542 5.9006 4.9998
angles (deg): 66.89 63.69 49.42
Fractional positions:
Li: 0.0315 0.7185 0.0315
Li: 0.2815 0.9685 0.2815
Li: 0.7185 0.0315 0.7185
Li: 0.9685 0.2815 0.9685
V: 0.2357 0.5143 0.5143
V: 0.4857 0.7643 0.7643
V: 0.5143 0.2357 0.2357
V: 0.7643 0.4857 0.4857

Values from the calculation:
VASP energy = -4.8363 eV/atom
Energy relative to the lowest polymorph listed for this composition = 316 meV/atom
Space-group type = Fddd

# La2TlWCl

A relaxed La2TlWCl crystal (PBE, Alexandria).

a b c (Å): 6.1084 6.1084 5.3674
angles (deg): 90.00 90.00 90.00
Fractional positions:
La: 0.0000 0.5000 0.0000
La: 0.5000 0.0000 0.0000
Tl: 0.0000 0.0000 0.0000
W: 0.5000 0.5000 0.5000
Cl: 0.0000 0.0000 0.5000

Values from the calculation:
VASP energy = -4.1588 eV/atom
Uncorrected formation energy = 1245 meV/atom
Space-group type = P4/mmm

# LuPuInGa

A relaxed LuPuInGa crystal (PBE, Alexandria).

a b c (Å): 5.1695 5.1695 5.1695
angles (deg): 60.00 60.00 60.00
Fractional positions:
Lu: 0.0000 0.0000 0.0000
Pu: 0.5000 0.5000 0.5000
In: 0.2500 0.2500 0.2500
Ga: 0.7500 0.7500 0.7500

Values from the calculation:
VASP energy = -6.4560 eV/atom
Space-group type = F-43m

# Co3IrS

A relaxed Co3IrS crystal (PBE, Alexandria).

a b c (Å): 4.0760 4.0760 4.0760
angles (deg): 90.00 90.00 90.00
Fractional positions:
Co: 0.0000 0.0000 0.5000
Co: 0.0000 0.5000 0.0000
Co: 0.5000 0.0000 0.0000
Ir: 0.5000 0.5000 0.5000
S: 0.0000 0.0000 0.0000

Values from the calculation:
VASP energy = -6.3685 eV/atom
Energy relative to the lowest polymorph listed for this composition = 0 meV/atom
Uncorrected formation energy = 493 meV/atom
Space-group type = Pm-3m

# CrRuN

A relaxed CrRuN crystal (PBE, Alexandria).

a b c (Å): 2.9043 2.9043 4.6851
angles (deg): 90.00 90.00 120.00
Fractional positions:
Cr: 0.0000 0.0000 0.0000
Ru: 0.3333 0.6667 0.5856
N: 0.3333 0.6667 0.1615

Values from the calculation:
VASP energy = -9.1976 eV/atom
Energy relative to the lowest polymorph listed for this composition = 12 meV/atom
Uncorrected formation energy = -123 meV/atom
Space-group type = P3m1

# RuNO2

A relaxed RuNO2 crystal (PBE, Alexandria).

a b c (Å): 3.1219 4.8189 8.9646
angles (deg): 102.68 94.97 90.00
Fractional positions:
Ru: 0.2497 0.2154 0.4983
Ru: 0.7503 0.7846 0.5017
N: 0.4869 0.5869 0.9686
N: 0.5131 0.4131 0.0314
O: 0.2240 0.5526 0.3959
O: 0.2852 0.9607 0.6421
O: 0.7148 0.0393 0.3579
O: 0.7760 0.4474 0.6041

Values from the calculation:
VASP energy = -7.4859 eV/atom
Uncorrected formation energy = -607 meV/atom
Space-group type = P-1

# Sc2CdWC

A relaxed Sc2CdWC crystal (PBE, Alexandria).

a b c (Å): 4.5594 4.5594 4.1647
angles (deg): 90.00 90.00 90.00
Fractional positions:
Sc: 0.0000 0.5000 0.0000
Sc: 0.5000 0.0000 0.0000
Cd: 0.0000 0.0000 0.5000
W: 0.5000 0.5000 0.5000
C: 0.5000 0.5000 0.0000

Values from the calculation:
VASP energy = -7.3688 eV/atom
Space-group type = P4/mmm

# SbCS2N

A relaxed SbCS2N crystal (PBE, Alexandria).

a b c (Å): 5.0512 5.0512 3.8672
angles (deg): 90.00 90.00 90.00
Fractional positions:
Sb: 0.0000 0.0000 0.0000
C: 0.5000 0.5000 0.5000
S: 0.0000 0.5000 0.0000
S: 0.5000 0.0000 0.0000
N: 0.0000 0.0000 0.5000

Values from the calculation:
VASP energy = -3.6836 eV/atom
Energy relative to the lowest polymorph listed for this composition = 1372 meV/atom
Uncorrected formation energy = 2302 meV/atom
Space-group type = P4/mmm

# Be2CuRu

A relaxed Be2CuRu crystal (PBE, Alexandria).

a b c (Å): 4.6075 4.6075 4.6075
angles (deg): 138.60 138.60 59.98
Fractional positions:
Be: 0.0000 0.0000 0.0000
Be: 0.7500 0.2500 0.5000
Cu: 0.2500 0.7500 0.5000
Ru: 0.5000 0.5000 0.0000

Values from the calculation:
VASP energy = -5.2889 eV/atom
Energy relative to the lowest polymorph listed for this composition = 222 meV/atom
Space-group type = I-4m2